# 1
Density functional theory data (PBE) for an optimized crystal structure of LiAc5.

Energy of formation (eV per formula unit): 0.4
Density of states at the Fermi level (states/eV/cell): 21.8
Mass density (Mg/m³): 7.61
Energy above the most stable polymorph in this dataset (eV/atom): 0.023

a = 6.2932 Å, b = 19.3230 Å, c = 4.1009 Å
α = 90.00°, β = 90.00°, γ = 90.00°
Closest atoms and distances in Å follow each position.
Space group Cmmm (No. 65)
Inequivalent atoms, fractional coordinates:
Li1 0.0000 0.0000 0.0000 x2  8 Ac 3.39-3.76
Ac1 0.0000 0.1399 0.5000 x4  2 Li 3.39
Ac2 0.0000 0.3162 0.0000 x4  12 Ac 3.85-4.10
Ac3 0.0000 0.5000 0.5000 x2  4 Li 3.76, 10 Ac 4.10-4.15

***

# 2
Density functional theory data (PBE) for an optimized crystal structure of HfTi2Sb.

Density of states at the Fermi level (states/eV/cell): 6.0
Mass density (Mg/m³): 8.37
Formation energy without anion corrections (eV/atom): -0.40

a = 3.9361 Å, b = 3.9481 Å, c = 10.3040 Å
α = 90.00°, β = 100.98°, γ = 90.00°
Closest atoms and distances in Å follow each position.
Space group P2_1/m (No. 11)
Inequivalent atoms, fractional coordinates:
Hf1 0.1984 0.2500 0.3986 x2  5 Sb 2.92-2.93
Ti1 0.0511 0.7500 0.1032 x2  8 Ti 2.79-2.88, 2 Sb 2.88
Ti2 0.4485 0.7500 0.8960 x2  8 Ti 2.79-2.89, 2 Sb 2.88
Sb1 0.3453 0.2500 0.6887 x2  4 Ti 2.88, 5 Hf 2.92-2.93